{"formula": "RbFeO2", "functional": "PBE+U", "state": "optimized geometry", "mass_density_g_cm3": 4.6, "energy_ev_per_cell": -88.3, "lattice_angstrom": [[6.013, 0.000, 0.000], [0.000, 4.285, 0.000], [0.000, 0.000, 9.649]], "species": ["Rb", "Rb", "Rb", "Rb", "Fe", "Fe", "Fe", "Fe", "O", "O", "O", "O", "O", "O", "O", "O"], "frac_coords": [[0.001, 0.250, 0.130], [0.499, 0.750, 0.630], [0.501, 0.250, 0.370], [0.999, 0.750, 0.870], [0.000, 0.250, 0.621], [0.000, 0.750, 0.379], [0.500, 0.250, 0.879], [0.500, 0.750, 0.121], [0.001, 0.250, 0.419], [0.249, 0.250, 0.750], [0.251, 0.750, 0.250], [0.499, 0.750, 0.919], [0.501, 0.250, 0.081], [0.749, 0.250, 0.750], [0.751, 0.750, 0.250], [0.999, 0.750, 0.581]]}